(1)
Computed, not measured: LiCaNd2 after structural relaxation at the PBE level of DFT.

Cell: 13.098 13.098 13.098 Å, 15.56 15.56 15.56°
Atoms (fractional coordinates):
Li 0.000 0.000 0.000
Ca 0.500 0.500 0.500
Nd 0.085 0.085 0.085
Nd 0.915 0.915 0.915

- Magnetic moment: 0.002 μB per formula unit
- DFT formation energy: 24.72 kJ/mol of atoms
- N(E_F): 5.603 states/eV/f.u.
- Energy: -3.11 eV per atom



(2)
Computed, not measured: LiCaNd2 after structural relaxation at the PBE level of DFT.

Cell: 5.727 5.727 5.727 Å, 60.00 60.00 60.00°
Atoms (fractional coordinates):
Li 0.000 0.000 0.000
Ca 0.500 0.500 0.500
Nd 0.250 0.250 0.250
Nd 0.750 0.750 0.750

- Magnetic moment: 0.000 μB per formula unit
- DFT formation energy: 19.20 kJ/mol of atoms
- N(E_F): 5.977 states/eV/f.u.
- Energy: -3.16 eV per atom



(3)
Computed, not measured: LiCaNd after structural relaxation at the PBE level of DFT.

Cell: 3.653 3.653 8.622 Å, 90.00 90.00 120.00°
Atoms (fractional coordinates):
Li 0.000 0.000 0.000
Ca 0.667 0.333 0.326
Nd 0.333 0.667 0.687

- Magnetic moment: 0.000 μB per formula unit
- DFT formation energy: 12.26 kJ/mol of atoms
- N(E_F): 3.361 states/eV/f.u.
- Energy: -2.77 eV per atom



(4)
Computed, not measured: LiCaNdNi after structural relaxation at the PBE level of DFT.

Cell: 5.059 5.059 5.059 Å, 60.00 60.00 60.00°
Atoms (fractional coordinates):
Li 0.000 0.000 0.000
Ca 0.750 0.750 0.750
Nd 0.250 0.250 0.250
Ni 0.500 0.500 0.500

- Magnetic moment: 0.000 μB per formula unit
- DFT formation energy: -1.84 kJ/mol of atoms
- N(E_F): 4.360 states/eV/f.u.
- Energy: -3.64 eV per atom



(5)
Computed, not measured: LiCaNdOs after structural relaxation at the PBE level of DFT.

Cell: 5.016 5.016 5.016 Å, 60.00 60.00 60.00°
Atoms (fractional coordinates):
Li 0.000 0.000 0.000
Ca 0.750 0.750 0.750
Nd 0.250 0.250 0.250
Os 0.500 0.500 0.500

- Magnetic moment: 0.000 μB per formula unit
- DFT formation energy: 9.71 kJ/mol of atoms
- N(E_F): 2.507 states/eV/f.u.
- Energy: -4.88 eV per atom



(6)
Computed, not measured: Li2Ca2NdPb2 after structural relaxation at the PBE level of DFT.

Cell: 9.760 9.760 9.760 Å, 29.30 29.30 29.30°
Atoms (fractional coordinates):
Li 0.099 0.099 0.099
Li 0.901 0.901 0.901
Ca 0.371 0.371 0.371
Ca 0.629 0.629 0.629
Nd 0.500 0.500 0.500
Pb 0.237 0.237 0.237
Pb 0.763 0.763 0.763

- Magnetic moment: 0.838 μB per formula unit
- DFT formation energy: -39.90 kJ/mol of atoms
- N(E_F): 2.989 states/eV/f.u.
- Energy: -3.27 eV per atom



> The lowest DFT formation energy belongs to which entry?

Li2Ca2NdPb2